1.
VASP calculation (SCAN) on a PBEsol-optimized structure of Ta3VH.

abc: 4.127 4.127 4.127
angles: 90.00 90.00 90.00
Atoms (fractional coordinates):
V 0.500 0.500 0.500
H 0.000 0.000 0.000
Ta 0.000 0.000 0.500
Ta 0.000 0.500 0.000
Ta 0.500 0.000 0.000

Calculated total energy: -43.942 eV per atom



2.
VASP calculation (SCAN) on a PBEsol-optimized structure of Nb2Co2Ir.

abc: 3.032 6.731 6.731
angles: 90.00 90.00 90.00
Atoms (fractional coordinates):
Nb 0.500 0.823 0.323
Co 0.000 0.626 0.126
Ir 0.000 0.500 0.500
Nb 0.500 0.677 0.823
Co 0.000 0.874 0.626
Co 0.000 0.126 0.374
Ir 0.000 0.000 0.000
Co 0.000 0.374 0.874
Nb 0.500 0.323 0.177
Nb 0.500 0.177 0.677

E_form: -25.3 kJ per mole of atoms
Calculated total energy: -34.656 eV per atom



3.
VASP calculation (SCAN) on a PBEsol-optimized structure of MgPb2WO6.

abc: 5.624 5.624 5.624
angles: 60.00 60.00 60.00
Atoms (fractional coordinates):
O 0.758 0.242 0.242
Pb 0.250 0.250 0.250
O 0.242 0.242 0.758
O 0.758 0.758 0.242
W 0.000 0.000 0.000
O 0.242 0.758 0.242
O 0.758 0.242 0.758
O 0.242 0.758 0.758
Pb 0.750 0.750 0.750
Mg 0.500 0.500 0.500

Calculated total energy: -28.390 eV per atom
E_form (uncorrected): -2029 meV/atom



4.
VASP calculation (SCAN) on a PBEsol-optimized structure of CaCuPb2.

abc: 3.712 4.430 6.207
angles: 90.00 101.52 90.00
Atoms (fractional coordinates):
Cu 0.000 0.500 0.500
Pb 0.156 0.000 0.281
Ca 0.500 0.500 0.000
Pb 0.844 0.000 0.719

E_form: -19.1 kJ per mole of atoms
Calculated total energy: -44.304 eV per atom



5.
VASP calculation (SCAN) on a PBEsol-optimized structure of ZrCo3I.

abc: 4.451 4.451 4.451
angles: 90.00 90.00 90.00
Last column: magnetic moment on the atom in μB.
Atoms (fractional coordinates):
Co 0.000 0.500 0.000  1.07
Co 0.000 0.000 0.500  1.07
Co 0.500 0.000 0.000  1.07
Zr 0.500 0.500 0.500  0.05
I 0.000 0.000 0.000  -0.05

Calculated total energy: -22.650 eV per atom
E_form (uncorrected): 1220 meV/atom



6.
VASP calculation (SCAN) on a PBEsol-optimized structure of Sc4TeIr.

abc: 5.522 5.522 5.522
angles: 60.00 60.00 60.00
Last column: magnetic moment on the atom in μB.
Atoms (fractional coordinates):
Ir 0.000 0.000 0.000  0.01
Sc 0.374 0.878 0.374  0.37
Sc 0.374 0.374 0.878  0.37
Sc 0.374 0.374 0.374  0.37
Te 0.750 0.750 0.750  -0.03
Sc 0.878 0.374 0.374  0.37

Calculated total energy: -27.377 eV per atom
E_form (uncorrected): 172 meV/atom



7.
VASP calculation (SCAN) on a PBEsol-optimized structure of KCa2Au.

abc: 5.462 5.462 5.462
angles: 60.00 60.00 60.00
Atoms (fractional coordinates):
Au 0.500 0.500 0.500
Ca 0.750 0.750 0.750
Ca 0.250 0.250 0.250
K 0.000 0.000 0.000

E_form: -17.9 kJ per mole of atoms
Calculated total energy: -24.389 eV per atom



8.
VASP calculation (SCAN) on a PBEsol-optimized structure of LiFeRu.

abc: 3.783 3.783 3.783
angles: 60.00 60.00 60.00
Last column: magnetic moment on the atom in μB.
Atoms (fractional coordinates):
Li 0.250 0.250 0.250  -0.03
Fe 0.500 0.500 0.500  3.05
Ru 0.000 0.000 0.000  0.94

E_form: 85.5 kJ per mole of atoms
Calculated total energy: -17.562 eV per atom



9.
VASP calculation (SCAN) on a PBEsol-optimized structure of Te3PdRh.

abc: 5.088 5.088 5.088
angles: 90.00 90.00 90.00
Atoms (fractional coordinates):
Pd 0.500 0.500 0.500
Te 0.500 0.000 0.000
Rh 0.000 0.000 0.000
Te 0.000 0.500 0.000
Te 0.000 0.000 0.500

Calculated total energy: -35.084 eV per atom
E_form (uncorrected): 576 meV/atom



10.
VASP calculation (SCAN) on a PBEsol-optimized structure of SrLaAl3O7.

abc: 5.209 7.881 7.881
angles: 90.30 90.00 90.00
Atoms (fractional coordinates):
Al 0.000 0.000 0.500
Sr 0.510 0.339 0.339
Sr 0.510 0.661 0.661
O 0.815 0.000 0.000
O 0.810 0.083 0.334
O 0.810 0.917 0.666
Al 0.000 0.500 0.000
Al 0.037 0.644 0.356
O 0.194 0.162 0.591
Al 0.037 0.356 0.644
O 0.194 0.838 0.409
O 0.704 0.650 0.350
Al 0.962 0.857 0.857
O 0.704 0.350 0.650
O 0.194 0.409 0.838
O 0.297 0.133 0.133
O 0.165 0.500 0.500
O 0.810 0.666 0.917
La 0.491 0.163 0.837
O 0.297 0.867 0.867
La 0.491 0.837 0.163
O 0.194 0.591 0.162
O 0.810 0.334 0.083
Al 0.962 0.143 0.143

Calculated total energy: -14.516 eV per atom
E_form (uncorrected): -3495 meV/atom



11.
VASP calculation (SCAN) on a PBEsol-optimized structure of Sc2MoCl.

abc: 3.203 3.203 7.427
angles: 90.00 90.00 90.00
Atoms (fractional coordinates):
Mo 0.500 0.500 0.500
Sc 0.000 0.000 0.719
Sc 0.000 0.000 0.281
Cl 0.500 0.500 0.000

Calculated total energy: -18.332 eV per atom
E_form (uncorrected): -497 meV/atom



12.
VASP calculation (SCAN) on a PBEsol-optimized structure of CoPRu2.

abc: 2.807 4.078 4.823
angles: 115.01 106.92 90.00
Atoms (fractional coordinates):
P 0.240 0.740 0.480
Co 0.538 0.539 0.077
Ru 0.751 0.251 0.502
Ru 0.970 0.971 0.941

E_form: -9.3 kJ per mole of atoms
Calculated total energy: -24.435 eV per atom



13.
VASP calculation (SCAN) on a PBEsol-optimized structure of SrBi2Mo.

abc: 5.164 5.164 5.164
angles: 60.00 60.00 60.00
Last column: magnetic moment on the atom in μB.
Atoms (fractional coordinates):
Bi 0.250 0.250 0.250  -0.04
Sr 0.000 0.000 0.000  -0.02
Mo 0.500 0.500 0.500  1.38
Bi 0.750 0.750 0.750  -0.04

E_form: 22.1 kJ per mole of atoms
Calculated total energy: -53.351 eV per atom



14.
VASP calculation (SCAN) on a PBEsol-optimized structure of LiZn2Ni2.

abc: 2.571 7.019 7.019
angles: 90.00 90.00 90.00
Atoms (fractional coordinates):
Li 0.000 0.000 0.000
Zn 0.000 0.666 0.166
Ni 0.500 0.629 0.871
Zn 0.000 0.166 0.334
Ni 0.500 0.129 0.629
Zn 0.000 0.834 0.666
Li 0.000 0.500 0.500
Ni 0.500 0.871 0.371
Ni 0.500 0.371 0.129
Zn 0.000 0.334 0.834

E_form: -16.1 kJ per mole of atoms
Calculated total energy: -12.521 eV per atom



15.
VASP calculation (SCAN) on a PBEsol-optimized structure of Rb3NiS.

abc: 6.248 6.248 6.248
angles: 90.00 90.00 90.00
Last column: magnetic moment on the atom in μB.
Atoms (fractional coordinates):
Rb 0.000 0.500 0.000  0.00
Rb 0.000 0.000 0.500  0.00
Rb 0.500 0.000 0.000  0.00
Ni 0.500 0.500 0.500  1.09
S 0.000 0.000 0.000  0.00

Calculated total energy: -17.720 eV per atom
E_form (uncorrected): -116 meV/atom



16.
VASP calculation (SCAN) on a PBEsol-optimized structure of Fe2AsOs.

abc: 3.639 3.639 4.423
angles: 114.29 114.29 90.00
Last column: magnetic moment on the atom in μB.
Atoms (fractional coordinates):
Fe 0.750 0.250 0.500  0.64
Os 0.500 0.500 0.000  -0.06
Fe 0.250 0.750 0.500  0.64
As 0.000 0.000 0.000  -0.03

E_form: 41.3 kJ per mole of atoms
Calculated total energy: -31.654 eV per atom



17.
VASP calculation (SCAN) on a PBEsol-optimized structure of MgOsSe2.

abc: 3.104 4.563 4.563
angles: 90.00 90.00 90.00
Atoms (fractional coordinates):
Mg 0.500 0.500 0.500
Se 0.000 0.500 0.000
Os 0.500 0.000 0.000
Se 0.000 0.000 0.500

Calculated total energy: -29.104 eV per atom
E_form (uncorrected): 148 meV/atom



18.
VASP calculation (SCAN) on a PBEsol-optimized structure of CuRh3.

abc: 4.218 4.218 4.218
angles: 60.00 60.00 60.00
Atoms (fractional coordinates):
Cu 0.000 0.000 0.000
Rh 0.500 0.500 0.500
Rh 0.750 0.750 0.750
Rh 0.250 0.250 0.250

E_form: 24.9 kJ per mole of atoms
Calculated total energy: -28.870 eV per atom



19.
VASP calculation (SCAN) on a PBEsol-optimized structure of Gd2PbS4.

abc: 7.295 7.295 7.295
angles: 109.35 109.35 109.72
Last column: magnetic moment on the atom in μB.
Atoms (fractional coordinates):
S 0.519 0.613 0.754  -0.05
Pb 0.250 0.750 0.500  -0.01
Gd 0.125 0.243 0.618  7.01
Gd 0.625 0.507 0.382  7.01
S 0.863 0.269 0.254  -0.05
S 0.859 0.765 0.246  -0.05
S 0.235 0.481 0.094  -0.05
Gd 0.493 0.875 0.118  7.01
Gd 0.757 0.375 0.882  7.01
S 0.387 0.141 0.906  -0.05
S 0.015 0.609 0.746  -0.05
S 0.731 0.985 0.594  -0.05
Pb 0.000 0.000 0.000  -0.01
S 0.391 0.137 0.406  -0.05

Calculated total energy: -34.881 eV per atom
E_form (uncorrected): -1749 meV/atom



20.
VASP calculation (SCAN) on a PBEsol-optimized structure of Y4TcBr.

abc: 6.075 6.075 6.075
angles: 60.00 60.00 60.00
Last column: magnetic moment on the atom in μB.
Atoms (fractional coordinates):
Y 0.373 0.373 0.882  0.08
Y 0.373 0.373 0.373  0.08
Tc 0.000 0.000 0.000  2.16
Y 0.373 0.882 0.373  0.08
Br 0.750 0.750 0.750  0.01
Y 0.882 0.373 0.373  0.08

Calculated total energy: -26.839 eV per atom
E_form (uncorrected): 810 meV/atom